The following is a DFT calculation (PBE) of Cu2SiS3 after structural relaxation.

The structure belongs to space group P31m (No. 157); the cell edges are 6.3710, 6.3710 and 6.1511 Å and the angles 90.00°, 90.00° and 120.00°. The distinct sites, in fractional coordinates, are Cu at (0.0000, 0.0000, 0.0000), Cu at (0.0000, 0.3324, 0.5262), Si at (0.3333, 0.6667, 0.0011), S at (0.0000, 0.0000, 0.6360), S at (0.0000, 0.3543, 0.1542) and S at (0.3333, 0.6667, 0.6648).

The calculated volume comes out at 108 Å³/f.u. The calculated density is 3.86 Mg/m³. The magnetization is 0.0 μB/cell. The calculated total energy comes out at -55.8 eV per cell. The formation energy without anion corrections is -0.32 eV/atom. The density of states at the Fermi level is 1.3 states/eV/cell.